A relaxed Na3Ho2CrO6 crystal. Source: Alexandria via LeMat-Bulk, functional GGA+U.

Structure (CIF):
```
data_Na3Ho2CrO6
_chemical_formula_sum 'Na3 Ho2 Cr1 O6'
_cell_length_a 5.6921
_cell_length_b 5.6921
_cell_length_c 5.8453
_cell_angle_alpha 99.17
_cell_angle_beta 99.17
_cell_angle_gamma 120.08
_symmetry_space_group_name_H-M 'P 1'
_symmetry_Int_Tables_number 1
_symmetry_space_group_name_Hall 'P 1'
loop_
_atom_site_label
_atom_site_fract_x
_atom_site_fract_y
_atom_site_fract_z
Na1 0.0000 0.0000 0.0000
Na2 0.3432 0.6568 0.0000
Na3 0.6568 0.3432 0.0000
Ho1 0.1671 0.8329 0.5000
Ho2 0.8329 0.1671 0.5000
Cr1 0.5000 0.5000 0.5000
O1 0.1203 0.4318 0.2924
O2 0.2553 0.2553 0.7041
O3 0.4318 0.1203 0.2924
O4 0.5682 0.8797 0.7076
O5 0.7447 0.7447 0.2959
O6 0.8797 0.5682 0.7076
```

- Energy: -80.1 eV/cell
- Space group: C2/m (12)
- Fermi-level density of states: 0.00 states/eV/cell